Record 1
Below is crystalline Tb2Pm4Nd2Dy at its relaxed geometry, with properties calculated at the PBE level.

The density of states at the Fermi level is 22.9 states/eV/cell. The final energy is -4.70 eV per atom. The calculated density comes out at 7.36 g cm⁻³.

The structure belongs to space group C2/m (No. 12); the cell edges are 18.963, 3.659 and 9.725 Å and the angles 90.00°, 115.65° and 90.00°. The distinct sites, in fractional coordinates, are Tb at (0.148, 0.000, 0.167), Pm at (0.018, 0.500, 0.833), Pm at (0.186, 0.000, 0.833), Nd at (0.166, 0.500, 0.498) and Dy at (0.000, 0.000, 0.500).

Record 2
Below is crystalline Tb3PmNd2Dy6 at its relaxed geometry, with properties calculated at the PBE level.

The density of states at the Fermi level is 30.0 states/eV/cell. The final energy is -4.63 eV per atom. The calculated density comes out at 8.06 g cm⁻³.

The structure belongs to space group C2/m (No. 12); the cell edges are 6.204, 10.741 and 11.833 Å and the angles 90.00°, 100.02° and 90.00°. The distinct sites, in fractional coordinates, are Tb at (0.000, 0.000, 0.000), Tb at (0.000, 0.333, 0.000), Pm at (0.000, 0.500, 0.500), Nd at (0.000, 0.167, 0.500), Dy at (0.248, 0.500, 0.247) and Dy at (0.249, 0.167, 0.247).

Record 3
Below is crystalline Tb2PmNdDy2 at its relaxed geometry, with properties calculated at the PBE level.

The density of states at the Fermi level is 19.6 states/eV/cell. The final energy is -4.39 eV per atom. The calculated density comes out at 7.68 g cm⁻³.

The structure belongs to space group Pnnm (No. 58); the cell edges are 6.621, 17.865 and 3.409 Å and the angles 90.00°, 90.00° and 90.00°. The distinct sites, in fractional coordinates, are Tb at (0.229, 0.184, 0.000), Pm at (0.000, 0.000, 0.000), Nd at (0.000, 0.500, 0.000) and Dy at (0.227, 0.350, 0.500).

Record 4
Below is crystalline TbPm5NdDy2 at its relaxed geometry, with properties calculated at the PBE level.

The density of states at the Fermi level is 56.2 states/eV/cell. The final energy is -4.56 eV per atom. The calculated density comes out at 7.26 g cm⁻³.

The structure belongs to space group Cmc2_1 (No. 36); the cell edges are 5.675, 20.337 and 10.723 Å and the angles 90.00°, 90.00° and 90.00°. The distinct sites, in fractional coordinates, are Tb at (0.000, 0.088, 0.000), Pm at (0.000, 0.021, 0.286), Pm at (0.000, 0.108, 0.570), Pm at (0.000, 0.202, 0.249), Pm at (0.000, 0.219, 0.853), Pm at (0.000, 0.483, 0.568), Nd at (0.000, 0.298, 0.554), Dy at (0.000, 0.384, 0.865) and Dy at (0.000, 0.389, 0.281).

Which value of calculated density does entry 1 give?
7.36 g cm⁻³

What did the second record say?
Below is crystalline Tb3PmNd2Dy6 at its relaxed geometry, with properties calculated at the PBE level.

The density of states at the Fermi level is 30.0 states/eV/cell. The final energy is -4.63 eV per atom. The calculated density comes out at 8.06 g cm⁻³.

The structure belongs to space group C2/m (No. 12); the cell edges are 6.204, 10.741 and 11.833 Å and the angles 90.00°, 100.02° and 90.00°. The distinct sites, in fractional coordinates, are Tb at (0.000, 0.000, 0.000), Tb at (0.000, 0.333, 0.000), Pm at (0.000, 0.500, 0.500), Nd at (0.000, 0.167, 0.500), Dy at (0.248, 0.500, 0.247) and Dy at (0.249, 0.167, 0.247).